First-principles (GGA-PBE) data for HgPd after structural relaxation, as listed in Alexandria.

The space group is Fm-3m (No. 225) and the conventional cell measures 5.5031, 5.5031 and 5.5031 Å, with angles of 90.00, 90.00 and 90.00 degrees. The asymmetric unit holds Hg at (0.0000, 0.0000, 0.0000) and Pd at (0.0000, 0.0000, 0.5000).

The calculation puts the final energy at -5.42 eV per formula unit.

---

First-principles (GGA-PBE) data for Ga3Rh after structural relaxation, as listed in Alexandria.

The space group is Imm2 (No. 44) and the conventional cell measures 3.0591, 7.1520 and 6.0415 Å, with angles of 90.00, 90.00 and 90.00 degrees. The asymmetric unit holds Ga at (0.0000, 0.0000, 0.0000), Ga at (0.0000, 0.1844, 0.3809) and Rh at (0.0000, 0.5000, 0.1614).

Its excess energy over the best structure of this formula in the dataset is 0.080 eV/atom.

---

First-principles (GGA-PBE) data for ErSiPd after structural relaxation, as listed in Alexandria.

The space group is Imm2 (No. 44) and the conventional cell measures 4.2960, 20.7710 and 7.4731 Å, with angles of 90.00, 90.00 and 90.00 degrees. The asymmetric unit holds Er at (0.0000, 0.0000, 0.0000), Er at (0.0000, 0.1672, 0.0858), Er at (0.0000, 0.3334, 0.9982), Er at (0.0000, 0.5000, 0.0925), Si at (0.0000, 0.0620, 0.3857), Si at (0.0000, 0.2342, 0.6992), Si at (0.0000, 0.4040, 0.3846), Pd at (0.0000, 0.1054, 0.7106), Pd at (0.0000, 0.2691, 0.3714) and Pd at (0.0000, 0.4283, 0.7155).

The calculation puts the final energy at -18.19 eV per formula unit.

---

First-principles (GGA-PBE) data for Co2IrSe after structural relaxation, as listed in Alexandria.

The space group is P4/mmm (No. 123) and the conventional cell measures 2.8208, 2.8208 and 6.6343 Å, with angles of 90.00, 90.00 and 90.00 degrees. The asymmetric unit holds Co at (0.0000, 0.0000, 0.2427), Ir at (0.5000, 0.5000, 0.5000) and Se at (0.5000, 0.5000, 0.0000).

The calculation puts the final energy at -25.51 eV per formula unit.

---

First-principles (GGA-PBE) data for FeNiW2 after structural relaxation, as listed in Alexandria.

The space group is Cmm2 (No. 35) and the conventional cell measures 3.2634, 4.2005 and 8.1230 Å, with angles of 90.00, 90.00 and 90.00 degrees. The asymmetric unit holds Fe at (0.0000, 0.0000, 0.0000), Ni at (0.0000, 0.5000, 0.2236), W at (0.0000, 0.0000, 0.4656) and W at (0.0000, 0.5000, 0.7475).

Its excess energy over the best structure of this formula in the dataset is 0.036 eV/atom.

---

First-principles (GGA-PBE) data for TaNbS2 after structural relaxation, as listed in Alexandria.

The space group is I-42d (No. 122) and the conventional cell measures 5.7230, 5.7230 and 10.1278 Å, with angles of 90.00, 90.00 and 90.00 degrees. The asymmetric unit holds Ta at (0.0000, 0.0000, 0.0000), Nb at (0.0000, 0.0000, 0.5000) and S at (0.2449, 0.2500, 0.1250).

Its excess energy over the best structure of this formula in the dataset is 0.677 eV/atom.

---

First-principles (GGA-PBE) data for Zr2MnCl after structural relaxation, as listed in Alexandria.

The space group is I-4m2 (No. 119) and the conventional cell measures 3.7366, 3.7366 and 10.6874 Å, with angles of 90.00, 90.00 and 90.00 degrees. The asymmetric unit holds Zr at (0.0000, 0.0000, 0.0000), Zr at (0.0000, 0.5000, 0.2500), Mn at (0.0000, 0.0000, 0.5000) and Cl at (0.0000, 0.5000, 0.7500).

Its excess energy over the best structure of this formula in the dataset is 0.635 eV/atom.

---

First-principles (GGA-PBE) data for Cu3P after structural relaxation, as listed in Alexandria.

The space group is Pm-3m (No. 221) and the conventional cell measures 3.6498, 3.6498 and 3.6498 Å, with angles of 90.00, 90.00 and 90.00 degrees. The asymmetric unit holds Cu at (0.0000, 0.0000, 0.5000) and P at (0.5000, 0.5000, 0.5000).

The calculation puts the final energy at -17.63 eV per formula unit.